Material: Ce3IrAu
Method: DFT, PBE
State: optimized geometry

Cell: 6.447 6.447 8.821 Å, 110.79 110.79 49.42°
Sites, in units of the cell vectors:
Ce 0.124 0.124 0.422
Ce 0.353 0.353 0.862
Ce 0.366 0.366 0.206
Ce 0.634 0.634 0.794
Ce 0.647 0.647 0.138
Ce 0.876 0.876 0.578
Ir 0.391 0.391 0.550
Ir 0.609 0.609 0.450
Au 0.093 0.093 0.933
Au 0.907 0.907 0.067

Output
Energy relative to the elements = -2.60 eV/f.u.
Excess energy over the best structure of this formula in the dataset = 0.053 eV per atom
Space group = No. 12
Total magnetization = 1.75 μB/f.u.